[1]
Below is crystalline ScAgBi3 at its relaxed geometry, with properties calculated at the PBE level.

Cell lengths 5.4778, 5.4778, 5.4778 Å; angles 90.00, 90.00, 90.00 degrees
Last column: nearest neighbours and their distance in Å.
Space group Pm-3m (No. 221)
Asymmetric unit:
Sc (0.0000, 0.0000, 0.0000) [1 per cell]  12 Bi 3.87
Ag (0.5000, 0.5000, 0.5000) [1 per cell]  6 Bi 2.74
Bi (0.0000, 0.5000, 0.5000) [3 per cell]  2 Ag 2.74

Summary:
Total magnetization: 0.00 μB per atom
E_tot: -18.520 eV per cell
DFT formation energy: 461 meV per atom

[2]
Below is crystalline Sc8Ag2Bi at its relaxed geometry, with properties calculated at the PBE level.

Cell lengths 8.1835, 13.4112, 5.1076 Å; angles 90.00, 110.13, 90.00 degrees
Last column: nearest neighbours and their distance in Å.
Space group C2/m (No. 12)
Asymmetric unit:
Sc (0.0000, 0.2326, 0.0000) [4 per cell]  2 Ag 2.72
Sc (0.0917, 0.5000, 0.7987) [4 per cell]  2 Sc 2.90-2.93, 2 Ag 3.02, 1 Bi 3.14
Sc (0.2106, 0.1152, 0.6080) [8 per cell]  2 Ag 2.83-2.99, 1 Sc 3.09
Ag (0.0000, 0.3028, 0.5000) [4 per cell]  8 Sc 2.72-3.02
Bi (0.0000, 0.0000, 0.0000) [2 per cell]  12 Sc 3.12-3.43

Summary:
Total magnetization: 0.00 μB per atom
E_tot: -122.563 eV per cell
DFT formation energy: -95 meV per atom

[3]
Below is crystalline ScAg3Bi at its relaxed geometry, with properties calculated at the PBE level.

Cell lengths 5.1398, 5.1398, 5.1398 Å; angles 90.00, 90.00, 90.00 degrees
Last column: nearest neighbours and their distance in Å.
Space group Pm-3m (No. 221)
Asymmetric unit:
Sc (0.0000, 0.0000, 0.0000) [1 per cell]  6 Ag 2.57
Ag (0.0000, 0.0000, 0.5000) [3 per cell]  2 Sc 2.57
Bi (0.5000, 0.5000, 0.5000) [1 per cell]  12 Ag 3.63

Summary:
Total magnetization: 0.00 μB per atom
E_tot: -14.927 eV per cell
DFT formation energy: 768 meV per atom

[4]
Below is crystalline Sc6Ag5Bi at its relaxed geometry, with properties calculated at the PBE level.

Cell lengths 15.6052, 6.9424, 4.9160 Å; angles 90.00, 108.29, 90.00 degrees
Last column: nearest neighbours and their distance in Å.
Space group C2/m (No. 12)
Asymmetric unit:
Sc (0.0000, 0.2379, 0.0000) [4 per cell]  6 Ag 2.96-3.12, 2 Bi 3.06, 1 Sc 3.30
Sc (0.1712, 0.2441, 0.6713) [8 per cell]  7 Ag 2.89-3.05, 1 Bi 3.10
Ag (0.0000, 0.0000, 0.5000) [2 per cell]  8 Sc 2.96-3.05
Ag (0.1662, 0.0000, 0.1663) [4 per cell]  8 Sc 2.97-2.99
Ag (0.1711, 0.5000, 0.1715) [4 per cell]  8 Sc 2.89-3.12
Bi (0.0000, 0.5000, 0.5000) [2 per cell]  8 Sc 3.06-3.10

Summary:
Total magnetization: 0.00 μB per atom
E_tot: -119.797 eV per cell
DFT formation energy: -314 meV per atom

[5]
Below is crystalline Sc2AgBi at its relaxed geometry, with properties calculated at the PBE level.

Cell lengths 7.7797, 7.7797, 6.5062 Å; angles 90.00, 90.00, 90.00 degrees
Last column: nearest neighbours and their distance in Å.
Space group I-42d (No. 122)
Asymmetric unit:
Sc (0.2296, 0.2500, 0.1250) [8 per cell]  2 Ag 2.76, 2 Bi 2.98
Ag (0.0000, 0.0000, 0.0000) [4 per cell]  4 Sc 2.76
Bi (0.0000, 0.0000, 0.5000) [4 per cell]  4 Sc 2.98, 2 Ag 3.25

Summary:
Total magnetization: 0.00 μB per atom
E_tot: -79.723 eV per cell
DFT formation energy: -134 meV per atom

[6]
Below is crystalline ScAg2Bi4 at its relaxed geometry, with properties calculated at the PBE level.

Cell lengths 5.6936, 5.6936, 13.9779 Å; angles 90.00, 90.00, 90.00 degrees
Last column: nearest neighbours and their distance in Å.
Space group I4/mmm (No. 139)
Asymmetric unit:
Sc (0.0000, 0.0000, 0.0000) [2 per cell]  6 Bi 2.85
Ag (0.0000, 0.0000, 0.4012) [4 per cell]  1 Bi 2.76, 1 Ag 2.76
Bi (0.0000, 0.0000, 0.2036) [4 per cell]  1 Ag 2.76, 1 Sc 2.85
Bi (0.0000, 0.5000, 0.0000) [4 per cell]  2 Sc 2.85, 4 Ag 3.16

Summary:
Total magnetization: 0.00 μB per atom
E_tot: -51.590 eV per cell
DFT formation energy: 252 meV per atom

[7]
Below is crystalline Sc3AgBi at its relaxed geometry, with properties calculated at the PBE level.

Cell lengths 5.1674, 5.1674, 5.1674 Å; angles 90.00, 90.00, 90.00 degrees
Last column: nearest neighbours and their distance in Å.
Space group Pm-3m (No. 221)
Asymmetric unit:
Sc (0.0000, 0.0000, 0.5000) [3 per cell]  2 Ag 2.58
Ag (0.0000, 0.0000, 0.0000) [1 per cell]  6 Sc 2.58
Bi (0.5000, 0.5000, 0.5000) [1 per cell]  12 Sc 3.65

Summary:
Total magnetization: 0.00 μB per atom
E_tot: -25.454 eV per cell
DFT formation energy: 55 meV per atom

[8]
Below is crystalline Sc2AgBi at its relaxed geometry, with properties calculated at the PBE level.

Cell lengths 4.7492, 4.7492, 4.0191 Å; angles 90.00, 90.00, 90.00 degrees
Last column: nearest neighbours and their distance in Å.
Space group P4/mmm (No. 123)
Asymmetric unit:
Sc (0.0000, 0.5000, 0.0000) [2 per cell]  4 Bi 3.11, 4 Ag 3.11, 4 Sc 3.36
Ag (0.0000, 0.0000, 0.5000) [1 per cell]  8 Sc 3.11, 4 Bi 3.36
Bi (0.5000, 0.5000, 0.5000) [1 per cell]  8 Sc 3.11, 4 Ag 3.36

Summary:
Total magnetization: 0.27 μB per atom
E_tot: -20.905 eV per cell
DFT formation energy: -377 meV per atom